Compound: InGeMo2F
Source: Alexandria
Functional: PBE with a Hubbard U
Structure: optimized geometry

Unit cell a=5.683 b=5.683 c=5.016 alpha=90.00 beta=90.00 gamma=90.00
Fractional coordinates of all 5 atoms:
In (0.000, 0.000, 0.000)
Ge (0.000, 0.000, 0.500)
Mo (0.000, 0.500, 0.000)
Mo (0.500, 0.000, 0.000)
F (0.500, 0.500, 0.500)

Output
- space group = P4/mmm, No. 123
- final energy (Ry/atom) = -0.2608